[1]
An optimized crystal structure of MnWBr2, computed with PBE.

Unit cell a=3.2744 b=3.2744 c=9.9486 alpha=90.00 beta=90.00 gamma=121.99
With the nearest neighbours (Å) after each atom.
Element x y z (fractional)
Br 0.0000 0.0000 0.9339  2 W 2.60
Br 0.5000 0.5000 0.3225  2 Mn 2.50
Mn 0.0000 0.0000 0.5166  2 Br 2.50, 2 W 2.63
W 0.5000 0.5000 0.7271  2 Br 2.60, 2 Mn 2.63

symmetry	No. 35
energy above the lowest structure with this stoichiometry	0.91	eV/f.u.
ΔE_f (raw)	1.54	eV per formula unit

***

[2]
An optimized crystal structure of TcHg2Te, computed with PBE.

Unit cell a=5.4538 b=5.4538 c=5.4538 alpha=132.02 beta=132.02 gamma=70.19
With the nearest neighbours (Å) after each atom.
Element x y z (fractional)
Te 0.7500 0.2500 0.5000  8 Hg 3.14-3.15, 4 Tc 3.15
Hg 0.2500 0.7500 0.5000  4 Te 3.14, 4 Hg 3.15, 4 Tc 3.15
Hg 0.0000 0.0000 0.0000  4 Tc 3.14, 4 Hg 3.15, 4 Te 3.15
Tc 0.5000 0.5000 0.0000  8 Hg 3.14-3.15, 4 Te 3.15

symmetry	No. 119
ΔE_f (raw)	2.61	eV per formula unit

***

[3]
An optimized crystal structure of Li12H5S3, computed with PBE.

Unit cell a=10.9755 b=10.9755 c=10.9755 alpha=109.47 beta=109.47 gamma=109.47
With the nearest neighbours (Å) after each atom.
Element x y z (fractional)
S 0.6250 0.3750 0.7500  8 Li 2.40-2.50
S 0.2500 0.1250 0.3750  8 Li 2.40-2.50
S 0.3750 0.7500 0.6250  8 Li 2.40-2.50
S 0.1250 0.8750 0.7500  8 Li 2.40-2.50
S 0.2500 0.6250 0.8750  8 Li 2.40-2.50
S 0.7500 0.3750 0.1250  8 Li 2.40-2.50
S 0.7500 0.8750 0.6250  8 Li 2.40-2.50
S 0.8750 0.7500 0.1250  8 Li 2.40-2.50
S 0.3750 0.6250 0.2500  8 Li 2.40-2.50
S 0.1250 0.2500 0.8750  8 Li 2.40-2.50
S 0.6250 0.2500 0.3750  8 Li 2.40-2.50
S 0.8750 0.1250 0.2500  8 Li 2.40-2.50
Li 0.1835 0.0978 0.9720  1 H 1.86
Li 0.3742 0.4022 0.0856  1 H 1.86
Li 0.0978 0.9144 0.1258  1 H 1.86
Li 0.4022 0.0280 0.3165  1 H 1.86
Li 0.3165 0.5280 0.4022  1 H 1.86
Li 0.2885 0.4144 0.8165  1 H 1.86
Li 0.3742 0.9720 0.7885  1 H 1.86
Li 0.4720 0.6835 0.0978  1 H 1.86
Li 0.2115 0.5280 0.6258  1 H 1.86
Li 0.0856 0.9022 0.3742  1 H 1.86
Li 0.6835 0.4720 0.5978  1 H 1.86
Li 0.0280 0.6258 0.7115  1 H 1.86
Li 0.4022 0.3742 0.5856  1 H 1.86
Li 0.2885 0.8742 0.9720  1 H 1.86
Li 0.1835 0.0856 0.7115  1 H 1.86
Li 0.9022 0.0856 0.8742  1 H 1.86
Li 0.7115 0.1258 0.0280  1 H 1.86
Li 0.3165 0.7885 0.4144  1 H 1.86
Li 0.7885 0.3165 0.9144  1 H 1.86
Li 0.5856 0.8742 0.4022  1 H 1.86
Li 0.5978 0.6258 0.4144  1 H 1.86
Li 0.4144 0.2885 0.3165  1 H 1.86
Li 0.9144 0.0978 0.6258  1 H 1.86
Li 0.0978 0.1835 0.4720  1 H 1.86
Li 0.8165 0.9144 0.2885  1 H 1.86
Li 0.6835 0.2115 0.5856  1 H 1.86
Li 0.9022 0.8165 0.5280  1 H 1.86
Li 0.7115 0.5856 0.1835  1 H 1.86
Li 0.5280 0.3165 0.9022  1 H 1.86
Li 0.6258 0.5978 0.9144  1 H 1.86
Li 0.9144 0.8165 0.7885  1 H 1.86
Li 0.5856 0.7115 0.6835  1 H 1.86
Li 0.1258 0.7115 0.5280  1 H 1.86
Li 0.9720 0.5978 0.1835  1 H 1.86
Li 0.1258 0.4144 0.0978  1 H 1.86
Li 0.8742 0.5856 0.9022  1 H 1.86
Li 0.5978 0.9720 0.6835  1 H 1.86
Li 0.0856 0.1835 0.2115  1 H 1.86
Li 0.9720 0.3742 0.2885  1 H 1.86
Li 0.8165 0.9022 0.0280  1 H 1.86
Li 0.6258 0.0280 0.2115  1 H 1.86
Li 0.7885 0.4720 0.3742  1 H 1.86
Li 0.0280 0.4022 0.8165  1 H 1.86
Li 0.4720 0.7885 0.8742  1 H 1.86
Li 0.5280 0.2115 0.1258  1 H 1.86
Li 0.4144 0.1258 0.5978  1 H 1.86
Li 0.8742 0.2885 0.4720  1 H 1.86
Li 0.2115 0.6835 0.0856  1 H 1.86
H 0.7500 0.1250 0.8750  4 Li 1.86
H 0.2500 0.3750 0.6250  4 Li 1.86
H 0.0000 0.5000 0.0000  6 Li 2.12
H 0.5000 0.5000 0.0000  6 Li 2.12
H 0.3750 0.1250 0.7500  4 Li 1.86
H 0.0000 0.0000 0.5000  6 Li 2.12
H 0.2500 0.8750 0.1250  4 Li 1.86
H 0.8750 0.6250 0.7500  4 Li 1.86
H 0.1250 0.3750 0.2500  4 Li 1.86
H 0.6250 0.8750 0.2500  4 Li 1.86
H 0.5000 0.0000 0.5000  6 Li 2.12
H 0.7500 0.6250 0.3750  4 Li 1.86
H 0.6250 0.7500 0.8750  4 Li 1.86
H 0.3750 0.2500 0.1250  4 Li 1.86
H 0.5000 0.5000 0.5000  6 Li 2.12
H 0.5000 0.0000 0.0000  6 Li 2.12
H 0.0000 0.0000 0.0000  6 Li 2.12
H 0.8750 0.2500 0.6250  4 Li 1.86
H 0.0000 0.5000 0.5000  6 Li 2.12
H 0.1250 0.7500 0.3750  4 Li 1.86

symmetry	No. 230

***

[4]
An optimized crystal structure of MnZn2In, computed with PBE.

Unit cell a=4.8993 b=4.8993 c=4.9474 alpha=79.93 beta=79.93 gamma=34.99
With the nearest neighbours (Å) after each atom.
Element x y z (fractional)
Zn 0.4893 0.4893 0.5326  4 Zn 2.64-2.95, 3 Mn 2.73-2.84, 1 In 2.85
Zn 0.0107 0.0107 0.9674  4 Zn 2.64-2.95, 3 Mn 2.73-2.84, 1 In 2.85
In 0.2500 0.2500 0.2500  6 Zn 2.85-2.97, 4 Mn 2.88, 2 In 2.95
Mn 0.7500 0.7500 0.7500  6 Zn 2.73-2.84, 4 In 2.88, 2 Mn 2.95

symmetry	No. 12
E_form	0.62	eV per formula unit

***

Final energy (computed, eV/atom): -5.983 -2.876 -3.319 -3.459
Spin magnetization (computed, μB per atom): 0.830 0.653 0.043 0.782